Record 1
{
  "formula": "CrIn2Re",
  "functional": "PBE-GGA",
  "state": "optimized geometry",
  "lattice_angstrom": [[4.098, 0.000, 0.000], [0.000, 4.098, 0.000], [0.000, 0.000, 8.491]],
  "species": ["Cr", "Cr", "In", "In", "In", "In", "Re", "Re"],
  "frac_coords": [[0.000, 0.000, 0.000], [0.500, 0.500, 0.500], [0.000, 0.000, 0.500], [0.000, 0.500, 0.750], [0.500, 0.000, 0.250], [0.500, 0.500, 0.000], [0.000, 0.500, 0.250], [0.500, 0.000, 0.750]],
  "dos_at_fermi_per_ev_atom": 1.128,
  "formation_energy_ev_per_atom": 0.611,
  "crystal_system": "tetragonal",
  "e_above_lowest_polymorph_ev_per_fu": 1.55
}

Record 2
{
  "formula": "CrIn2Re",
  "functional": "PBE-GGA",
  "state": "optimized geometry",
  "lattice_angstrom": [[9.357, 0.000, 0.000], [0.000, 2.947, 0.000], [-0.898, 0.000, 5.250]],
  "species": ["Cr", "Cr", "In", "In", "In", "In", "Re", "Re"],
  "frac_coords": [[0.000, 0.000, 0.000], [0.500, 0.500, 0.000], [0.249, 0.000, 0.748], [0.251, 0.500, 0.252], [0.749, 0.500, 0.748], [0.751, 0.000, 0.252], [0.000, 0.500, 0.500], [0.500, 0.000, 0.500]],
  "dos_at_fermi_per_ev_atom": 0.569,
  "formation_energy_ev_per_atom": 0.586,
  "crystal_system": "monoclinic",
  "e_above_lowest_polymorph_ev_per_fu": 1.45
}

Record 3
{
  "formula": "Cr3InRe",
  "functional": "PBE-GGA",
  "state": "optimized geometry",
  "lattice_angstrom": [[4.701, 0.000, 0.000], [0.000, 4.701, 0.000], [0.000, 0.000, 4.701]],
  "species": ["Cr", "Cr", "Cr", "In", "Re"],
  "frac_coords": [[0.000, 0.000, 0.500], [0.000, 0.500, 0.000], [0.500, 0.000, 0.000], [0.500, 0.500, 0.500], [0.000, 0.000, 0.000]],
  "dos_at_fermi_per_ev_atom": 0.786,
  "formation_energy_ev_per_atom": 1.228,
  "crystal_system": "cubic",
  "e_above_lowest_polymorph_ev_per_fu": 0.00
}

Record 4
{
  "formula": "CrIn2Re",
  "functional": "PBE-GGA",
  "state": "optimized geometry",
  "lattice_angstrom": [[3.038, 0.000, 0.000], [0.000, 3.006, 0.000], [-1.506, 0.000, 8.074]],
  "species": ["Cr", "In", "In", "Re"],
  "frac_coords": [[0.000, 0.000, 0.000], [0.204, 0.000, 0.413], [0.382, 0.500, 0.761], [0.579, 0.500, 0.158]],
  "dos_at_fermi_per_ev_atom": 0.794,
  "formation_energy_ev_per_atom": 0.222,
  "crystal_system": "monoclinic",
  "e_above_lowest_polymorph_ev_per_fu": 0.00
}

Record 5
{
  "formula": "CrIn2Re",
  "functional": "PBE-GGA",
  "state": "optimized geometry",
  "lattice_angstrom": [[4.182, 0.000, 0.000], [0.000, 4.182, 0.000], [0.000, 0.000, 8.167]],
  "species": ["Cr", "Cr", "In", "In", "In", "In", "Re", "Re"],
  "frac_coords": [[0.000, 0.000, 0.000], [0.500, 0.500, 0.500], [0.000, 0.500, 0.250], [0.000, 0.500, 0.750], [0.500, 0.000, 0.250], [0.500, 0.000, 0.750], [0.000, 0.000, 0.500], [0.500, 0.500, 0.000]],
  "dos_at_fermi_per_ev_atom": 0.588,
  "formation_energy_ev_per_atom": 0.549,
  "crystal_system": "tetragonal",
  "e_above_lowest_polymorph_ev_per_fu": 1.31
}

Record 6
{
  "formula": "CrIn2Re",
  "functional": "PBE-GGA",
  "state": "optimized geometry",
  "lattice_angstrom": [[3.128, 0.000, 0.000], [0.000, 4.952, 0.000], [0.000, 0.000, 9.291]],
  "species": ["Cr", "Cr", "In", "In", "In", "In", "Re", "Re"],
  "frac_coords": [[0.000, 0.000, 0.000], [0.500, 0.500, 0.000], [0.000, 0.500, 0.246], [0.000, 0.500, 0.754], [0.500, 0.000, 0.246], [0.500, 0.000, 0.754], [0.000, 0.000, 0.500], [0.500, 0.500, 0.500]],
  "dos_at_fermi_per_ev_atom": 0.694,
  "formation_energy_ev_per_atom": 0.698,
  "crystal_system": "orthorhombic",
  "e_above_lowest_polymorph_ev_per_fu": 1.90
}

Record 7
{
  "formula": "CrIn2Re",
  "functional": "PBE-GGA",
  "state": "optimized geometry",
  "lattice_angstrom": [[5.962, 0.000, 0.000], [0.000, 8.212, 0.000], [0.000, 0.000, 2.928]],
  "species": ["Cr", "Cr", "In", "In", "In", "In", "Re", "Re"],
  "frac_coords": [[0.000, 0.000, 0.000], [0.500, 0.500, 0.000], [0.250, 0.250, 0.500], [0.250, 0.750, 0.500], [0.750, 0.250, 0.500], [0.750, 0.750, 0.500], [0.000, 0.500, 0.000], [0.500, 0.000, 0.000]],
  "dos_at_fermi_per_ev_atom": 0.532,
  "formation_energy_ev_per_atom": 0.591,
  "crystal_system": "orthorhombic",
  "e_above_lowest_polymorph_ev_per_fu": 1.47
}

Record 8
{
  "formula": "CrIn2Re",
  "functional": "PBE-GGA",
  "state": "optimized geometry",
  "lattice_angstrom": [[3.049, 0.000, 0.000], [-1.525, 2.641, 0.000], [0.000, 0.000, 27.397]],
  "species": ["Cr", "Cr", "Cr", "In", "In", "In", "In", "In", "In", "Re", "Re", "Re"],
  "frac_coords": [[0.000, 0.000, 0.000], [0.333, 0.667, 0.667], [0.667, 0.333, 0.333], [0.000, 0.000, 0.249], [0.000, 0.000, 0.751], [0.333, 0.667, 0.417], [0.333, 0.667, 0.916], [0.667, 0.333, 0.084], [0.667, 0.333, 0.583], [0.000, 0.000, 0.500], [0.333, 0.667, 0.167], [0.667, 0.333, 0.833]],
  "dos_at_fermi_per_ev_atom": 1.037,
  "formation_energy_ev_per_atom": 0.650,
  "crystal_system": "trigonal",
  "e_above_lowest_polymorph_ev_per_fu": 1.71
}